(1)
The following is a PBE calculation of crystalline Tm2PtPb at its relaxed geometry, from Alexandria via LeMat-Bulk.

Summary:
* energy relative to the elements: -0.73 eV per atom
* total DFT energy (no corrections): -5.40 eV/atom
* Fermi-level density of states: 0.385 states/eV per atom
* total magnetic moment: 0.000 μB per atom

CIF file:
```
data_Tm2PtPb
_chemical_formula_sum 'Tm2 Pt1 Pb1'
_cell_length_a 3.889
_cell_length_b 4.937
_cell_length_c 4.937
_cell_angle_alpha 90.00
_cell_angle_beta 90.00
_cell_angle_gamma 90.00
_space_group_name_H-M_alt 'P 1'
_space_group_IT_number 1
loop_
_space_group_symop_operation_xyz
'x,y,z'
loop_
_atom_site_label
_atom_site_type_symbol
_atom_site_fract_x
_atom_site_fract_y
_atom_site_fract_z
Tm1 Tm 0.000 0.500 0.000
Tm2 Tm 0.000 0.000 0.500
Pb1 Pb 0.500 0.000 0.000
Pt1 Pt 0.500 0.500 0.500
```

(2)
The following is a PBE calculation of crystalline LiCoCu2H5 at its relaxed geometry, from Alexandria via LeMat-Bulk.

Summary:
* total DFT energy (no corrections): -3.81 eV/atom
* Fermi-level density of states: 0.223 states/eV per atom
* total magnetic moment: 0.000 μB per atom

CIF file:
```
data_LiCoCu2H5
_chemical_formula_sum 'Li1 Co1 Cu2 H5'
_cell_length_a 3.254
_cell_length_b 4.509
_cell_length_c 5.204
_cell_angle_alpha 115.67
_cell_angle_beta 108.22
_cell_angle_gamma 90.00
_space_group_name_H-M_alt 'P 1'
_space_group_IT_number 1
loop_
_space_group_symop_operation_xyz
'x,y,z'
loop_
_atom_site_label
_atom_site_type_symbol
_atom_site_fract_x
_atom_site_fract_y
_atom_site_fract_z
Co1 Co 0.500 0.000 0.000
H1 H 0.377 0.136 0.754
Cu1 Cu 0.776 0.776 0.553
H2 H 0.623 0.383 0.246
Li1 Li 0.000 0.500 0.000
H3 H 0.000 0.000 0.000
H4 H 0.623 0.864 0.246
Cu2 Cu 0.224 0.224 0.447
H5 H 0.377 0.617 0.754
```

(3)
The following is a PBE calculation of crystalline SrAs2SeN at its relaxed geometry, from Alexandria via LeMat-Bulk.

Summary:
* offset from the most stable computed form: 0 meV per atom
* total DFT energy (no corrections): -4.38 eV/atom
* Fermi-level density of states: 0.953 states/eV per atom
* total magnetic moment: 0.000 μB per atom
* formation energy from raw total energies: 0.180 eV/atom

CIF file:
```
data_SrAs2SeN
_chemical_formula_sum 'Sr1 As2 Se1 N1'
_cell_length_a 4.500
_cell_length_b 4.500
_cell_length_c 4.874
_cell_angle_alpha 90.00
_cell_angle_beta 90.00
_cell_angle_gamma 90.00
_space_group_name_H-M_alt 'P 1'
_space_group_IT_number 1
loop_
_space_group_symop_operation_xyz
'x,y,z'
loop_
_atom_site_label
_atom_site_type_symbol
_atom_site_fract_x
_atom_site_fract_y
_atom_site_fract_z
Sr1 Sr 0.500 0.500 0.500
Se1 Se 0.000 0.000 0.500
N1 N 0.000 0.000 0.000
As1 As 0.500 0.000 0.000
As2 As 0.000 0.500 0.000
```

(4)
The following is a PBE calculation of crystalline SeBr at its relaxed geometry, from Alexandria via LeMat-Bulk.

Summary:
* total DFT energy (no corrections): -2.42 eV/atom
* Fermi-level density of states: 0.117 states/eV per atom
* total magnetic moment: 0.000 μB per atom
* formation energy from raw total energies: 0.154 eV/atom

CIF file:
```
data_SeBr
_chemical_formula_sum 'Se2 Br2'
_cell_length_a 9.315
_cell_length_b 9.315
_cell_length_c 3.293
_cell_angle_alpha 90.00
_cell_angle_beta 90.00
_cell_angle_gamma 154.25
_space_group_name_H-M_alt 'P 1'
_space_group_IT_number 1
loop_
_space_group_symop_operation_xyz
'x,y,z'
loop_
_atom_site_label
_atom_site_type_symbol
_atom_site_fract_x
_atom_site_fract_y
_atom_site_fract_z
Br1 Br 0.150 0.850 0.750
Se1 Se 0.548 0.452 0.250
Br2 Br 0.850 0.150 0.250
Se2 Se 0.452 0.548 0.750
```

(5)
The following is a PBE calculation of crystalline Rb2TiRu at its relaxed geometry, from Alexandria via LeMat-Bulk.

Summary:
* energy relative to the elements: 2.04 eV per atom
* offset from the most stable computed form: 1131 meV per atom
* total DFT energy (no corrections): -2.74 eV/atom
* Fermi-level density of states: 2.339 states/eV per atom
* total magnetic moment: 0.011 μB per atom

CIF file:
```
data_Rb2TiRu
_chemical_formula_sum 'Rb2 Ti1 Ru1'
_cell_length_a 5.464
_cell_length_b 5.464
_cell_length_c 5.464
_cell_angle_alpha 60.00
_cell_angle_beta 60.00
_cell_angle_gamma 60.00
_space_group_name_H-M_alt 'P 1'
_space_group_IT_number 1
loop_
_space_group_symop_operation_xyz
'x,y,z'
loop_
_atom_site_label
_atom_site_type_symbol
_atom_site_fract_x
_atom_site_fract_y
_atom_site_fract_z
Rb1 Rb 0.750 0.750 0.750
Ru1 Ru 0.500 0.500 0.500
Rb2 Rb 0.250 0.250 0.250
Ti1 Ti 0.000 0.000 0.000
```

(6)
The following is a PBE calculation of crystalline LaNd2Al2Zn2 at its relaxed geometry, from Alexandria via LeMat-Bulk.

Summary:
* energy relative to the elements: -0.31 eV per atom
* total DFT energy (no corrections): -3.81 eV/atom
* Fermi-level density of states: 0.673 states/eV per atom
* total magnetic moment: 0.000 μB per atom

CIF file:
```
data_LaNd2Al2Zn2
_chemical_formula_sum 'La1 Nd2 Al2 Zn2'
_cell_length_a 4.606
_cell_length_b 4.606
_cell_length_c 9.919
_cell_angle_alpha 76.58
_cell_angle_beta 76.58
_cell_angle_gamma 60.00
_space_group_name_H-M_alt 'P 1'
_space_group_IT_number 1
loop_
_space_group_symop_operation_xyz
'x,y,z'
loop_
_atom_site_label
_atom_site_type_symbol
_atom_site_fract_x
_atom_site_fract_y
_atom_site_fract_z
Zn1 Zn 0.405 0.405 0.785
La1 La 0.000 0.000 0.000
Nd1 Nd 0.870 0.870 0.389
Al1 Al 0.738 0.738 0.785
Nd2 Nd 0.130 0.130 0.611
Zn2 Zn 0.595 0.595 0.215
Al2 Al 0.262 0.262 0.215
```

(7)
The following is a PBE calculation of crystalline NaPtW2 at its relaxed geometry, from Alexandria via LeMat-Bulk.

Summary:
* energy relative to the elements: 1.09 eV per atom
* offset from the most stable computed form: 60 meV per atom
* total DFT energy (no corrections): -7.22 eV/atom
* Fermi-level density of states: 0.978 states/eV per atom
* total magnetic moment: 0.000 μB per atom

CIF file:
```
data_NaPtW2
_chemical_formula_sum 'Na2 Pt2 W4'
_cell_length_a 7.651
_cell_length_b 7.651
_cell_length_c 5.994
_cell_angle_alpha 50.34
_cell_angle_beta 50.34
_cell_angle_gamma 90.00
_space_group_name_H-M_alt 'P 1'
_space_group_IT_number 1
loop_
_space_group_symop_operation_xyz
'x,y,z'
loop_
_atom_site_label
_atom_site_type_symbol
_atom_site_fract_x
_atom_site_fract_y
_atom_site_fract_z
W1 W 0.375 0.330 0.750
Pt1 Pt 0.750 0.250 0.500
Na1 Na 0.250 0.750 0.500
W2 W 0.875 0.920 0.750
Na2 Na 0.500 0.500 0.000
W3 W 0.080 0.625 0.250
W4 W 0.670 0.125 0.250
Pt2 Pt 0.000 0.000 0.000
```

(8)
The following is a PBE calculation of crystalline SrTlCdAg2 at its relaxed geometry, from Alexandria via LeMat-Bulk.

Summary:
* energy relative to the elements: -0.17 eV per atom
* total DFT energy (no corrections): -2.30 eV/atom
* Fermi-level density of states: 0.467 states/eV per atom
* total magnetic moment: 0.000 μB per atom

CIF file:
```
data_SrTlCdAg2
_chemical_formula_sum 'Sr1 Tl1 Cd1 Ag2'
_cell_length_a 4.153
_cell_length_b 4.677
_cell_length_c 7.410
_cell_angle_alpha 108.40
_cell_angle_beta 106.27
_cell_angle_gamma 90.00
_space_group_name_H-M_alt 'P 1'
_space_group_IT_number 1
loop_
_space_group_symop_operation_xyz
'x,y,z'
loop_
_atom_site_label
_atom_site_type_symbol
_atom_site_fract_x
_atom_site_fract_y
_atom_site_fract_z
Sr1 Sr 0.452 0.452 0.904
Tl1 Tl 0.836 0.836 0.672
Ag1 Ag 0.051 0.051 0.102
Cd1 Cd 0.172 0.672 0.344
Ag2 Ag 0.701 0.201 0.402
```

(9)
The following is a PBE calculation of crystalline NbRhSCl2 at its relaxed geometry, from Alexandria via LeMat-Bulk.

Summary:
* offset from the most stable computed form: 0 meV per atom
* total DFT energy (no corrections): -4.83 eV/atom
* Fermi-level density of states: 3.211 states/eV per atom
* total magnetic moment: 0.006 μB per atom
* formation energy from raw total energies: 0.217 eV/atom

CIF file:
```
data_NbRhSCl2
_chemical_formula_sum 'Nb1 Rh1 S1 Cl2'
_cell_length_a 4.833
_cell_length_b 4.833
_cell_length_c 4.815
_cell_angle_alpha 90.00
_cell_angle_beta 90.00
_cell_angle_gamma 90.00
_space_group_name_H-M_alt 'P 1'
_space_group_IT_number 1
loop_
_space_group_symop_operation_xyz
'x,y,z'
loop_
_atom_site_label
_atom_site_type_symbol
_atom_site_fract_x
_atom_site_fract_y
_atom_site_fract_z
Nb1 Nb 0.000 0.000 0.000
S1 S 0.000 0.000 0.500
Cl1 Cl 0.500 0.000 0.000
Rh1 Rh 0.500 0.500 0.500
Cl2 Cl 0.000 0.500 0.000
```

(10)
The following is a PBE calculation of crystalline Sc2Be at its relaxed geometry, from Alexandria via LeMat-Bulk.

Summary:
* energy relative to the elements: 0.07 eV per atom
* offset from the most stable computed form: 104 meV per atom
* total DFT energy (no corrections): -5.39 eV/atom
* Fermi-level density of states: 1.045 states/eV per atom
* total magnetic moment: 0.270 μB per atom

CIF file:
```
data_Sc2Be
_chemical_formula_sum 'Sc4 Be2'
_cell_length_a 5.353
_cell_length_b 5.353
_cell_length_c 5.353
_cell_angle_alpha 106.76
_cell_angle_beta 106.76
_cell_angle_gamma 115.04
_space_group_name_H-M_alt 'P 1'
_space_group_IT_number 1
loop_
_space_group_symop_operation_xyz
'x,y,z'
loop_
_atom_site_label
_atom_site_type_symbol
_atom_site_fract_x
_atom_site_fract_y
_atom_site_fract_z
Be1 Be 0.750 0.750 0.000
Sc1 Sc 0.177 0.677 0.854
Sc2 Sc 0.823 0.323 0.146
Be2 Be 0.250 0.250 0.000
Sc3 Sc 0.323 0.177 0.500
Sc4 Sc 0.677 0.823 0.500
```

(11)
The following is a PBE calculation of crystalline Ce6Sb3H2 at its relaxed geometry, from Alexandria via LeMat-Bulk.

Summary:
* total DFT energy (no corrections): -5.63 eV/atom
* Fermi-level density of states: 3.161 states/eV per atom
* total magnetic moment: 0.671 μB per atom

CIF file:
```
data_Ce6Sb3H2
_chemical_formula_sum 'Ce6 Sb3 H2'
_cell_length_a 4.642
_cell_length_b 4.642
_cell_length_c 13.437
_cell_angle_alpha 99.95
_cell_angle_beta 99.95
_cell_angle_gamma 90.00
_space_group_name_H-M_alt 'P 1'
_space_group_IT_number 1
loop_
_space_group_symop_operation_xyz
'x,y,z'
loop_
_atom_site_label
_atom_site_type_symbol
_atom_site_fract_x
_atom_site_fract_y
_atom_site_fract_z
H1 H 0.393 0.393 0.785
Sb1 Sb 0.176 0.176 0.351
Ce1 Ce 0.699 0.699 0.398
Ce2 Ce 0.585 0.085 0.169
H2 H 0.607 0.607 0.215
Ce3 Ce 0.085 0.585 0.169
Ce4 Ce 0.915 0.415 0.831
Ce5 Ce 0.301 0.301 0.602
Sb2 Sb 0.000 0.000 0.000
Sb3 Sb 0.824 0.824 0.649
Ce6 Ce 0.415 0.915 0.831
```

(12)
The following is a PBE calculation of crystalline CoGe2AuS at its relaxed geometry, from Alexandria via LeMat-Bulk.

Summary:
* total DFT energy (no corrections): -4.49 eV/atom
* Fermi-level density of states: 0.532 states/eV per atom
* total magnetic moment: 0.000 μB per atom
* formation energy from raw total energies: 0.260 eV/atom

CIF file:
```
data_CoGe2AuS
_chemical_formula_sum 'Co1 Ge2 Au1 S1'
_cell_length_a 4.793
_cell_length_b 4.094
_cell_length_c 4.793
_cell_angle_alpha 90.00
_cell_angle_beta 90.00
_cell_angle_gamma 90.00
_space_group_name_H-M_alt 'P 1'
_space_group_IT_number 1
loop_
_space_group_symop_operation_xyz
'x,y,z'
loop_
_atom_site_label
_atom_site_type_symbol
_atom_site_fract_x
_atom_site_fract_y
_atom_site_fract_z
Au1 Au 0.500 0.500 0.500
Ge1 Ge 0.000 0.000 0.500
S1 S 0.000 0.500 0.000
Co1 Co 0.000 0.000 0.000
Ge2 Ge 0.500 0.000 0.000
```